Compound: Ca2PbF
Source: Alexandria via LeMat-Bulk
Functional: PBE-GGA
Structure: optimized geometry

Properties
* E: -0.270 Ry per atom
* ΔE_f (raw): -5.11 eV per formula unit
* magnetic moment: 0.0 μB/f.u.
* polymorph energy (0 for the lowest one): 43.1 kJ per mole of atoms
* ρ: 5.06 g cm⁻³

Cell: 3.5739 3.5739 7.8726 Å, 90.00 90.00 90.00°
Last column: nearest neighbours and their distance in Å.
Sites, in units of the cell vectors:
Pb 0.5000 0.5000 0.5000  8 Ca 3.30, 4 Pb 3.57
Ca 0.0000 0.0000 0.7687  4 F 3.11, 4 Pb 3.30
Ca 0.0000 0.0000 0.2313  4 F 3.11, 4 Pb 3.30
F 0.5000 0.5000 0.0000  8 Ca 3.11



Compound: GaNiHgC
Source: Alexandria via LeMat-Bulk
Functional: PBE-GGA
Structure: optimized geometry

Properties
* E: -0.301 Ry per atom
* energy of formation from the pure elements: 0.490 eV per atom
* magnetic moment: 0.0 μB/f.u.
* polymorph energy (0 for the lowest one): 3.2 kJ per mole of atoms
* ρ: 9.17 g cm⁻³

Cell: 6.4126 3.4134 5.9331 Å, 90.00 107.95 90.00°
Last column: nearest neighbours and their distance in Å.
Sites, in units of the cell vectors:
Ni 0.1594 0.0000 0.2689  3 C 1.98
Ni 0.1594 0.5000 0.7689  3 C 1.98
C 0.1329 0.0000 0.5925  3 Ni 1.98
C 0.1329 0.5000 0.0925  3 Ni 1.98
Hg 0.5110 0.0000 0.7208  1 C 2.31, 1 Ga 2.54
Hg 0.5110 0.5000 0.2208  1 C 2.31, 1 Ga 2.54
Ga 0.9267 0.0000 0.8580  3 C 2.34-2.35, 3 Ni 2.43, 1 Hg 2.54
Ga 0.9267 0.5000 0.3580  3 C 2.34-2.35, 3 Ni 2.43, 1 Hg 2.54



Compound: BiTe2Cl
Source: Alexandria via LeMat-Bulk
Functional: PBE-GGA
Structure: optimized geometry

Properties
* E: -0.219 Ry per atom
* ΔE_f (raw): 0.12 eV per formula unit
* magnetic moment: 0.0 μB/f.u.
* polymorph energy (0 for the lowest one): 30.8 kJ per mole of atoms
* ρ: 7.47 g cm⁻³

Cell: 5.3961 5.3961 5.3961 Å, 60.00 60.00 60.00°
Last column: nearest neighbours and their distance in Å.
Sites, in units of the cell vectors:
Te 0.2500 0.2500 0.2500  4 Cl 3.30, 4 Bi 3.30
Te 0.7500 0.7500 0.7500  4 Cl 3.30, 4 Bi 3.30
Bi 0.5000 0.5000 0.5000  8 Te 3.30
Cl 0.0000 0.0000 0.0000  8 Te 3.30



Compound: SrH2O2
Source: Alexandria via LeMat-Bulk
Functional: PBE-GGA
Structure: optimized geometry

Properties
* E: -0.405 Ry per atom
* magnetic moment: 0.0 μB/f.u.
* ρ: 3.35 g cm⁻³

Cell: 3.9543 6.0636 10.0505 Å, 90.00 90.00 90.00°
Last column: nearest neighbours and their distance in Å.
Sites, in units of the cell vectors:
Sr 0.7500 0.6004 0.3416  1 H 2.54, 7 O 2.54-2.82
Sr 0.2500 0.3996 0.6584  1 H 2.54, 7 O 2.54-2.82
Sr 0.2500 0.1004 0.1584  1 H 2.54, 7 O 2.54-2.82
Sr 0.7500 0.8996 0.8416  1 H 2.54, 7 O 2.54-2.82
H 0.7500 0.3722 0.0328  1 O 0.97
H 0.2500 0.6278 0.9672  1 O 0.97
H 0.2500 0.8722 0.4672  1 O 0.97
H 0.7500 0.1278 0.5328  1 O 0.97
H 0.2500 0.1851 0.4056  1 O 0.99
H 0.7500 0.8149 0.5944  1 O 0.99
H 0.7500 0.6851 0.0944  1 O 0.99
H 0.2500 0.3149 0.9056  1 O 0.99
O 0.7500 0.1286 0.6298  1 H 0.97
O 0.2500 0.8714 0.3702  1 H 0.97
O 0.2500 0.6286 0.8702  1 H 0.97
O 0.7500 0.3714 0.1298  1 H 0.97
O 0.2500 0.3469 0.3963  1 H 0.99
O 0.7500 0.6531 0.6037  1 H 0.99
O 0.7500 0.8469 0.1037  1 H 0.99
O 0.2500 0.1531 0.8963  1 H 0.99



Compound: Be4Se
Source: Alexandria via LeMat-Bulk
Functional: PBE-GGA
Structure: optimized geometry

Properties
* E: -0.234 Ry per atom
* ΔE_f (raw): 2.45 eV per formula unit
* magnetic moment: 0.0 μB/f.u.
* polymorph energy (0 for the lowest one): 0.0 kJ per mole of atoms
* ρ: 3.45 g cm⁻³

Cell: 4.3728 4.3728 4.3728 Å, 98.79 98.79 133.99°
Last column: nearest neighbours and their distance in Å.
Sites, in units of the cell vectors:
Be 0.1671 0.5931 0.7601  5 Be 2.18-2.30
Be 0.5931 0.8329 0.4260  5 Be 2.18-2.30
Be 0.8329 0.4069 0.2399  5 Be 2.18-2.30
Be 0.4069 0.1671 0.5740  5 Be 2.18-2.30
Se 0.0000 0.0000 0.0000  12 Be 2.50-2.61



Compound: KSi2Sb
Source: Alexandria via LeMat-Bulk
Functional: PBE-GGA
Structure: optimized geometry

Properties
* E: -0.266 Ry per atom
* ΔE_f (raw): 1.60 eV per formula unit
* magnetic moment: 0.0 μB/f.u.
* ρ: 3.24 g cm⁻³

Cell: 8.0782 8.0782 6.6498 Å, 52.60 52.60 90.00°
Last column: nearest neighbours and their distance in Å.
Sites, in units of the cell vectors:
Sb 0.0000 0.0000 0.0000  4 Si 2.70
Sb 0.7500 0.2500 0.5000  4 Si 2.70
K 0.5000 0.5000 0.0000  8 Si 3.30-3.62, 2 Sb 3.40
K 0.2500 0.7500 0.5000  8 Si 3.30-3.62, 2 Sb 3.40
Si 0.6799 0.1250 0.2500  2 Sb 2.70
Si 0.0701 0.6250 0.2500  2 Sb 2.70
Si 0.3750 0.3201 0.7500  2 Sb 2.70
Si 0.8750 0.9299 0.7500  2 Sb 2.70



| no. | D(E_F) (states/eV/f.u.) |
| --- | --- |
| 1 | 1.7 |
| 2 | 1.1 |
| 3 | 4.2 |
| 4 | 0.0 |
| 5 | 1.3 |
| 6 | 0.0 |